# 1
YTm10Sc2 | GGA-PBE | optimized geometry

Cell: 11.3015 9.0116 8.1796 Å, 82.05 52.16 45.79°
Atoms (fractional coordinates):
Y: 0.0000 0.0000 0.0000
Tm: 0.0000 0.5000 0.0000
Tm: 0.0188 0.6576 0.3424
Tm: 0.2955 0.5062 0.4938
Tm: 0.3424 0.9812 0.0188
Tm: 0.4938 0.7045 0.2955
Tm: 0.5000 0.0000 0.5000
Tm: 0.5062 0.2955 0.7045
Tm: 0.6576 0.0188 0.9812
Tm: 0.7045 0.4938 0.5062
Tm: 0.9812 0.3424 0.6576
Sc: 0.0000 0.0000 0.5000
Sc: 0.5000 0.5000 0.0000

## Properties
V: 31.17 Å³/atom
symmetry: Fmmm, No. 69
calculated density: 7.7 Mg/m³
spin magnetization: 0.0 μB per formula unit
energy of formation: 313.0 kJ/mol of formula units

---

# 2
Y2TmSc | GGA-PBE | optimized geometry

Cell: 11.3545 11.3545 11.3545 Å, 17.77 17.77 17.77°
Atoms (fractional coordinates):
Y: 0.0000 0.0000 0.0000
Y: 0.1609 0.1609 0.1609
Tm: 0.5807 0.5807 0.5807
Sc: 0.7467 0.7467 0.7467

## Properties
V: 29.77 Å³/atom
symmetry: R3m, No. 160
calculated density: 5.5 Mg/m³
energy relative to the lowest polymorph listed for this composition: 0.019 eV per atom
spin magnetization: 0.0 μB per formula unit
energy of formation: 14.8 kJ/mol of formula units

---

# 3
Y2Tm8Sc3 | GGA-PBE | optimized geometry

Cell: 5.5500 6.1636 11.5688 Å, 78.58 79.58 88.69°
Atoms (fractional coordinates):
Y: 0.2467 0.1650 0.0071
Y: 0.7533 0.8350 0.9929
Tm: 0.1159 0.0539 0.3384
Tm: 0.1866 0.6031 0.1718
Tm: 0.3056 0.7158 0.8466
Tm: 0.3614 0.2604 0.6982
Tm: 0.6386 0.7396 0.3018
Tm: 0.6944 0.2842 0.1534
Tm: 0.8134 0.3969 0.8282
Tm: 0.8841 0.9461 0.6616
Sc: 0.0000 0.5000 0.5000
Sc: 0.4357 0.7617 0.5602
Sc: 0.5643 0.2383 0.4398

## Properties
V: 29.34 Å³/atom
symmetry: P-1, No. 2
calculated density: 7.2 Mg/m³
energy relative to the lowest polymorph listed for this composition: 0.000 eV per atom
spin magnetization: 0.0 μB per formula unit
energy of formation: 92.9 kJ/mol of formula units

---

# 4
YTm2Sc | GGA-PBE | optimized geometry

Cell: 3.4695 3.4695 9.6872 Å, 90.00 90.00 90.00°
Atoms (fractional coordinates):
Y: 0.0000 0.0000 0.0000
Tm: 0.5000 0.5000 0.2621
Tm: 0.5000 0.5000 0.7379
Sc: 0.0000 0.0000 0.5000

## Properties
V: 29.15 Å³/atom
symmetry: P4/mmm, No. 123
calculated density: 6.7 Mg/m³
energy relative to the lowest polymorph listed for this composition: 0.018 eV per atom
spin magnetization: 0.0 μB per formula unit
energy of formation: 17.9 kJ/mol of formula units

---

# 5
Y8Tm6Sc | GGA-PBE | optimized geometry

Cell: 8.0487 8.0487 8.0487 Å, 73.87 73.87 73.87°
Atoms (fractional coordinates):
Y: 0.0920 0.0920 0.0920
Y: 0.1490 0.5660 0.2686
Y: 0.2686 0.1490 0.5660
Y: 0.4340 0.7314 0.8510
Y: 0.5660 0.2686 0.1490
Y: 0.7314 0.8510 0.4340
Y: 0.8510 0.4340 0.7314
Y: 0.9080 0.9080 0.9080
Tm: 0.1216 0.7871 0.5585
Tm: 0.2129 0.4415 0.8784
Tm: 0.4415 0.8784 0.2129
Tm: 0.5585 0.1216 0.7871
Tm: 0.7871 0.5585 0.1216
Tm: 0.8784 0.2129 0.4415
Sc: 0.5000 0.5000 0.5000

## Properties
V: 31.31 Å³/atom
symmetry: R-3, No. 148
calculated density: 6.3 Mg/m³
energy relative to the lowest polymorph listed for this composition: 0.041 eV per atom
spin magnetization: 0.0 μB per formula unit
energy of formation: 274.5 kJ/mol of formula units

---

# 6
Y4TmSc4 | GGA-PBE | optimized geometry

Cell: 7.6636 7.6636 7.6636 Å, 95.73 95.73 143.17°
Atoms (fractional coordinates):
Y: 0.0000 0.3270 0.3270
Y: 0.0000 0.6730 0.6730
Y: 0.3270 0.0000 0.3270
Y: 0.6730 0.0000 0.6730
Tm: 0.0000 0.0000 0.0000
Sc: 0.3346 0.3346 0.6692
Sc: 0.3346 0.6654 0.0000
Sc: 0.6654 0.3346 0.0000
Sc: 0.6654 0.6654 0.3308

## Properties
V: 28.44 Å³/atom
symmetry: I4/mmm, No. 139
calculated density: 4.6 Mg/m³
energy relative to the lowest polymorph listed for this composition: 0.025 eV per atom
spin magnetization: 0.0 μB per formula unit
energy of formation: 51.8 kJ/mol of formula units